Entry from the Alexandria database: HoRu2W after structural relaxation (PBE-GGA).

Output
Energy (eV/atom): -9.0339
Energy relative to the lowest polymorph listed for this composition (eV per atom): 0.100
V (Å³/atom): 16.9
ΔE_f (kJ per mole of atoms): -1
Magnetic moment (μB per formula unit): 0.0

Geometry as CIF:
```
data_HoRu2W
_symmetry_space_group_name_H-M 'F m -3 m'
_symmetry_Int_Tables_number 225
_symmetry_space_group_name_Hall '-F 4 2 3'
_cell_length_a 6.462
_cell_length_b 6.462
_cell_length_c 6.462
_cell_angle_alpha 90.00
_cell_angle_beta 90.00
_cell_angle_gamma 90.00
loop_
_atom_site_label
_atom_site_type_symbol
_atom_site_fract_x
_atom_site_fract_y
_atom_site_fract_z
Ho1 Ho 0.000 0.000 0.000
Ru1 Ru 0.250 0.250 0.250
W1 W 0.000 0.000 0.500
```